(1)
Compound: Sm6Tm3Th
Source: the Alexandria database
Functional: PBE
Structure: optimized geometry

```
data_Sm6Tm3Th
_chemical_formula_sum 'Sm12 Tm6 Th2'
_cell_length_a 13.154
_cell_length_b 3.529
_cell_length_c 14.386
_cell_angle_alpha 90.00
_cell_angle_beta 100.58
_cell_angle_gamma 90.00
_symmetry_space_group_name_H-M 'P 1 21/m 1'
_symmetry_Int_Tables_number 11
_symmetry_space_group_name_Hall '-P 2yb'
loop_
_atom_site_label
_atom_site_type_symbol
_atom_site_fract_x
_atom_site_fract_y
_atom_site_fract_z
Sm1 Sm 0.000 0.250 0.190
Sm2 Sm 0.154 0.750 0.380
Sm3 Sm 0.228 0.250 0.797
Sm4 Sm 0.278 0.250 0.213
Sm5 Sm 0.310 0.250 0.579
Sm6 Sm 0.377 0.750 0.016
Tm1 Tm 0.077 0.750 0.596
Tm2 Tm 0.124 0.250 0.001
Tm3 Tm 0.426 0.750 0.401
Th1 Th 0.465 0.750 0.777
```

## Properties
DOS at the Fermi energy	28.83	states/eV per cell
formation energy from the elements	83	meV per atom

(2)
Compound: Sm2Tm6Th
Source: the Alexandria database
Functional: PBE
Structure: optimized geometry

```
data_Sm2Tm6Th
_chemical_formula_sum 'Sm2 Tm6 Th1'
_cell_length_a 3.5549
_cell_length_b 3.5549
_cell_length_c 26.0418
_cell_angle_alpha 90.00
_cell_angle_beta 90.00
_cell_angle_gamma 120.00
_symmetry_space_group_name_H-M 'P -6 m 2'
_symmetry_Int_Tables_number 187
_symmetry_space_group_name_Hall 'P -6 2'
loop_
_atom_site_label
_atom_site_type_symbol
_atom_site_fract_x
_atom_site_fract_y
_atom_site_fract_z
Sm1 Sm 0.0000 0.0000 0.1722
Tm1 Tm 0.0000 0.0000 0.3899
Tm2 Tm 0.6667 0.3333 0.0636
Tm3 Tm 0.6667 0.3333 0.2840
Th1 Th 0.6667 0.3333 0.5000
```

## Properties
DOS at the Fermi energy	16.53	states/eV per cell
formation energy from the elements	69	meV per atom

(3)
Compound: SmTmTh
Source: the Alexandria database
Functional: PBE
Structure: optimized geometry

```
data_SmTmTh
_chemical_formula_sum 'Sm4 Tm4 Th4'
_cell_length_a 7.476
_cell_length_b 7.476
_cell_length_c 7.476
_cell_angle_alpha 90.00
_cell_angle_beta 90.00
_cell_angle_gamma 90.00
_symmetry_space_group_name_H-M 'P 21 3'
_symmetry_Int_Tables_number 198
_symmetry_space_group_name_Hall 'P 2ac 2ab 3'
loop_
_atom_site_label
_atom_site_type_symbol
_atom_site_fract_x
_atom_site_fract_y
_atom_site_fract_z
Sm1 Sm 0.194 0.194 0.194
Tm1 Tm 0.017 0.983 0.483
Th1 Th 0.150 0.350 0.650
```

## Properties
DOS at the Fermi energy	15.11	states/eV per cell
formation energy from the elements	760	meV per atom

(4)
Compound: Sm2TmTh
Source: the Alexandria database
Functional: PBE
Structure: optimized geometry

```
data_Sm2TmTh
_chemical_formula_sum 'Sm8 Tm4 Th4'
_cell_length_a 9.316
_cell_length_b 12.499
_cell_length_c 5.951
_cell_angle_alpha 90.00
_cell_angle_beta 129.54
_cell_angle_gamma 90.00
_symmetry_space_group_name_H-M 'C 1 2/c 1'
_symmetry_Int_Tables_number 15
_symmetry_space_group_name_Hall '-C 2yc'
loop_
_atom_site_label
_atom_site_type_symbol
_atom_site_fract_x
_atom_site_fract_y
_atom_site_fract_z
Sm1 Sm 0.246 0.114 0.496
Tm1 Tm 0.000 0.126 0.750
Th1 Th 0.000 0.395 0.750
```

## Properties
DOS at the Fermi energy	24.22	states/eV per cell
formation energy from the elements	240	meV per atom

(5)
Compound: Sm4Tm2Th
Source: the Alexandria database
Functional: PBE
Structure: optimized geometry

```
data_Sm4Tm2Th
_chemical_formula_sum 'Sm16 Tm8 Th4'
_cell_length_a 6.743
_cell_length_b 11.508
_cell_length_c 12.073
_cell_angle_alpha 90.00
_cell_angle_beta 90.00
_cell_angle_gamma 90.00
_symmetry_space_group_name_H-M 'I m m a'
_symmetry_Int_Tables_number 74
_symmetry_space_group_name_Hall '-I 2b 2'
loop_
_atom_site_label
_atom_site_type_symbol
_atom_site_fract_x
_atom_site_fract_y
_atom_site_fract_z
Sm1 Sm 0.000 0.003 0.154
Sm2 Sm 0.224 0.250 0.987
Tm1 Tm 0.000 0.000 0.500
Tm2 Tm 0.000 0.250 0.722
Th1 Th 0.250 0.250 0.250
```

## Properties
DOS at the Fermi energy	50.10	states/eV per cell
formation energy from the elements	312	meV per atom

(6)
Compound: Sm3Tm2Th
Source: the Alexandria database
Functional: PBE
Structure: optimized geometry

```
data_Sm3Tm2Th
_chemical_formula_sum 'Sm12 Tm8 Th4'
_cell_length_a 10.977
_cell_length_b 12.028
_cell_length_c 6.855
_cell_angle_alpha 90.00
_cell_angle_beta 90.00
_cell_angle_gamma 90.00
_symmetry_space_group_name_H-M 'I b a m'
_symmetry_Int_Tables_number 72
_symmetry_space_group_name_Hall '-I 2 2c'
loop_
_atom_site_label
_atom_site_type_symbol
_atom_site_fract_x
_atom_site_fract_y
_atom_site_fract_z
Sm1 Sm 0.000 0.000 0.250
Sm2 Sm 0.000 0.268 0.250
Tm1 Tm 0.243 0.191 0.000
Th1 Th 0.000 0.500 0.000
```

## Properties
DOS at the Fermi energy	42.77	states/eV per cell
formation energy from the elements	613	meV per atom

(7)
Compound: Sm8Tm2Th
Source: the Alexandria database
Functional: PBE
Structure: optimized geometry

```
data_Sm8Tm2Th
_chemical_formula_sum 'Sm16 Tm4 Th2'
_cell_length_a 18.359
_cell_length_b 5.092
_cell_length_c 8.056
_cell_angle_alpha 90.00
_cell_angle_beta 105.34
_cell_angle_gamma 90.00
_symmetry_space_group_name_H-M 'C 1 2/m 1'
_symmetry_Int_Tables_number 12
_symmetry_space_group_name_Hall '-C 2y'
loop_
_atom_site_label
_atom_site_type_symbol
_atom_site_fract_x
_atom_site_fract_y
_atom_site_fract_z
Sm1 Sm 0.046 0.000 0.233
Sm2 Sm 0.091 0.500 0.953
Sm3 Sm 0.136 0.000 0.683
Sm4 Sm 0.181 0.500 0.410
Tm1 Tm 0.228 0.000 0.135
Th1 Th 0.000 0.500 0.500
```

## Properties
DOS at the Fermi energy	32.40	states/eV per cell
formation energy from the elements	33	meV per atom

(8)
Compound: Sm4Tm6Th
Source: the Alexandria database
Functional: PBE
Structure: optimized geometry

```
data_Sm4Tm6Th
_chemical_formula_sum 'Sm8 Tm12 Th2'
_cell_length_a 7.650
_cell_length_b 7.650
_cell_length_c 12.940
_cell_angle_alpha 90.00
_cell_angle_beta 90.00
_cell_angle_gamma 90.00
_symmetry_space_group_name_H-M 'I -4 2 m'
_symmetry_Int_Tables_number 121
_symmetry_space_group_name_Hall 'I -4 2'
loop_
_atom_site_label
_atom_site_type_symbol
_atom_site_fract_x
_atom_site_fract_y
_atom_site_fract_z
Sm1 Sm 0.176 0.176 0.425
Tm1 Tm 0.000 0.500 0.000
Tm2 Tm 0.246 0.246 0.181
Th1 Th 0.000 0.000 0.000
```

## Properties
DOS at the Fermi energy	31.09	states/eV per cell
formation energy from the elements	489	meV per atom

no.,calculated density (g/cm³),calculated total energy (eV for the cell shown),E above lowest polymorph (meV/atom)
1,8.3,-96.64,0
2,9.0,-43.07,0
3,8.8,-57.33,733
4,8.7,-81.48,218
5,8.3,-132.22,274
6,7.5,-107.37,378
7,8.1,-107.51,0
8,8.1,-95.50,361